Entry 1:
VASP calculation (GGA-PBE) on MgRe2Os2 after structural relaxation.

## Properties
DOS(E_F)   3.49 states/eV/f.u.
Size of the total moment   0.00 μB per cell
Calculated formation energy   186 meV/atom

a b c (Å): 7.6450 7.6450 2.7802
angles (deg): 90.00 90.00 90.00
Closest atoms and distances in Å follow each position.
Positions (direct):
Re (0.1651, 0.6651, 0.5000)  6 Os 2.64-2.65, 2 Re 2.78
Re (0.6651, 0.8349, 0.5000)  6 Os 2.64-2.65, 2 Re 2.78
Re (0.8349, 0.3349, 0.5000)  6 Os 2.64-2.65, 2 Re 2.78
Re (0.3349, 0.1651, 0.5000)  6 Os 2.64-2.65, 2 Re 2.78
Mg (0.0000, 0.0000, 0.0000)  2 Mg 2.78, 4 Os 3.02
Mg (0.5000, 0.5000, 0.0000)  2 Mg 2.78, 4 Os 3.02
Os (0.3741, 0.8741, 0.0000)  6 Re 2.64-2.65, 3 Os 2.72-2.78
Os (0.8741, 0.6259, 0.0000)  6 Re 2.64-2.65, 3 Os 2.72-2.78
Os (0.6259, 0.1259, 0.0000)  6 Re 2.64-2.65, 3 Os 2.72-2.78
Os (0.1259, 0.3741, 0.0000)  6 Re 2.64-2.65, 3 Os 2.72-2.78

***

Entry 2:
VASP calculation (GGA-PBE) on Mg2ReOs2 after structural relaxation.

## Properties
DOS(E_F)   4.20 states/eV/f.u.
Size of the total moment   2.48 μB per cell
Calculated formation energy   1086 meV/atom

a b c (Å): 3.4712 3.4712 8.1489
angles (deg): 77.70 77.70 90.00
Closest atoms and distances in Å follow each position.
Positions (direct):
Re (0.0000, 0.0000, 0.0000)  8 Mg 2.91
Mg (0.3994, 0.3994, 0.2013)  4 Os 2.90, 4 Re 2.91, 1 Mg 3.13
Mg (0.6006, 0.6006, 0.7987)  4 Os 2.90, 4 Re 2.91, 1 Mg 3.13
Os (0.7500, 0.2500, 0.5000)  4 Os 2.45
Os (0.2500, 0.7500, 0.5000)  4 Os 2.45

***

Entry 3:
VASP calculation (GGA-PBE) on MgReOs2Ru after structural relaxation.

## Properties
DOS(E_F)   6.33 states/eV/f.u.
Size of the total moment   0.00 μB per cell
Calculated formation energy   1652 meV/atom

a b c (Å): 4.7242 4.6802 4.7242
angles (deg): 90.00 90.00 90.00
Closest atoms and distances in Å follow each position.
Positions (direct):
Re (0.0000, 0.0000, 0.0000)  2 Ru 2.34, 4 Os 2.36
Mg (0.5000, 0.5000, 0.5000)  8 Os 3.32, 4 Ru 3.34
Os (0.0000, 0.0000, 0.5000)  2 Re 2.36
Os (0.5000, 0.0000, 0.0000)  2 Re 2.36
Ru (0.0000, 0.5000, 0.0000)  2 Re 2.34

***

Entry 4:
VASP calculation (GGA-PBE) on MgReTcOs after structural relaxation.

## Properties
DOS(E_F)   2.38 states/eV/f.u.
Size of the total moment   0.00 μB per cell
Calculated formation energy   121 meV/atom

a b c (Å): 4.3761 4.3761 4.3761
angles (deg): 60.00 60.00 60.00
Closest atoms and distances in Å follow each position.
Positions (direct):
Re (0.0000, 0.0000, 0.0000)  4 Tc 2.68, 4 Os 2.68
Mg (0.5000, 0.5000, 0.5000)  4 Tc 2.68, 4 Os 2.68
Os (0.7500, 0.7500, 0.7500)  4 Re 2.68, 4 Mg 2.68
Tc (0.2500, 0.2500, 0.2500)  4 Mg 2.68, 4 Re 2.68

***

Entry 5:
VASP calculation (GGA-PBE) on MgReTeOs2 after structural relaxation.

## Properties
DOS(E_F)   5.52 states/eV/f.u.
Formation energy without anion corrections   1189 kJ/mol of formula units
Size of the total moment   3.69 μB per cell

a b c (Å): 4.8020 4.8967 4.8020
angles (deg): 90.00 90.00 90.00
Closest atoms and distances in Å follow each position.
Positions (direct):
Re (0.5000, 0.5000, 0.5000)  4 Mg 3.40, 8 Os 3.43
Mg (0.0000, 0.5000, 0.0000)  2 Te 2.45
Te (0.0000, 0.0000, 0.0000)  4 Os 2.40, 2 Mg 2.45
Os (0.0000, 0.0000, 0.5000)  2 Te 2.40
Os (0.5000, 0.0000, 0.0000)  2 Te 2.40

***

Entry 6:
VASP calculation (GGA-PBE) on MgZrRe2Os after structural relaxation.

## Properties
DOS(E_F)   5.44 states/eV/f.u.
Size of the total moment   0.00 μB per cell
Calculated formation energy   1271 meV/atom

a b c (Å): 4.7757 4.7757 4.9482
angles (deg): 90.00 90.00 90.00
Closest atoms and distances in Å follow each position.
Positions (direct):
Re (0.0000, 0.5000, 0.0000)  2 Os 2.39
Re (0.5000, 0.0000, 0.0000)  2 Os 2.39
Mg (0.5000, 0.5000, 0.5000)  4 Zr 3.38, 8 Re 3.44
Os (0.0000, 0.0000, 0.0000)  4 Re 2.39, 2 Zr 2.47
Zr (0.0000, 0.0000, 0.5000)  2 Os 2.47

***

Entry 7:
VASP calculation (GGA-PBE) on MgOs4Rh after structural relaxation.

## Properties
DOS(E_F)   8.39 states/eV/f.u.
Size of the total moment   0.00 μB per cell
Calculated formation energy   537 meV/atom

a b c (Å): 5.1468 5.1468 5.1468
angles (deg): 60.00 60.00 60.00
Closest atoms and distances in Å follow each position.
Positions (direct):
Mg (0.0000, 0.0000, 0.0000)  12 Os 3.02, 4 Rh 3.15
Os (0.8731, 0.3756, 0.3756)  6 Os 2.56-2.59
Os (0.3756, 0.3756, 0.8731)  6 Os 2.56-2.59
Os (0.3756, 0.8731, 0.3756)  6 Os 2.56-2.59
Os (0.3756, 0.3756, 0.3756)  6 Os 2.56-2.59
Rh (0.7500, 0.7500, 0.7500)  12 Os 3.02, 4 Mg 3.15

***

Entry 8:
VASP calculation (GGA-PBE) on Mg3OsRh after structural relaxation.

## Properties
DOS(E_F)   3.65 states/eV/f.u.
Size of the total moment   1.21 μB per cell
Calculated formation energy   886 meV/atom

a b c (Å): 4.7045 4.7045 4.7045
angles (deg): 90.00 90.00 90.00
Closest atoms and distances in Å follow each position.
Positions (direct):
Rh (0.0000, 0.0000, 0.0000)  6 Mg 2.35
Mg (0.0000, 0.5000, 0.0000)  2 Rh 2.35
Mg (0.0000, 0.0000, 0.5000)  2 Rh 2.35
Mg (0.5000, 0.0000, 0.0000)  2 Rh 2.35
Os (0.5000, 0.5000, 0.5000)  12 Mg 3.33

***

Entry 9:
VASP calculation (GGA-PBE) on Mg2OsRh after structural relaxation.

## Properties
DOS(E_F)   4.97 states/eV/f.u.
Size of the total moment   0.00 μB per cell
Calculated formation energy   118 meV/atom

a b c (Å): 4.4236 4.4236 4.4236
angles (deg): 60.00 60.00 60.00
Closest atoms and distances in Å follow each position.
Positions (direct):
Rh (0.0000, 0.0000, 0.0000)  8 Mg 2.71
Mg (0.2500, 0.2500, 0.2500)  4 Os 2.71, 4 Rh 2.71
Mg (0.7500, 0.7500, 0.7500)  4 Os 2.71, 4 Rh 2.71
Os (0.5000, 0.5000, 0.5000)  8 Mg 2.71

***

Entry 10:
VASP calculation (GGA-PBE) on Mg2OsRh after structural relaxation.

## Properties
DOS(E_F)   3.89 states/eV/f.u.
Size of the total moment   2.53 μB per cell
Calculated formation energy   542 meV/atom

a b c (Å): 7.1458 7.1458 5.7043
angles (deg): 51.22 51.22 90.00
Closest atoms and distances in Å follow each position.
Positions (direct):
Rh (0.5000, 0.5000, 0.0000)  4 Mg 2.56, 2 Os 2.65
Rh (0.2500, 0.7500, 0.5000)  4 Mg 2.56, 2 Os 2.65
Mg (0.6141, 0.1250, 0.2500)  2 Rh 2.56, 2 Mg 2.65, 2 Os 2.67
Mg (0.1359, 0.6250, 0.2500)  2 Rh 2.56, 2 Mg 2.65, 2 Os 2.67
Mg (0.3750, 0.3859, 0.7500)  2 Rh 2.56, 2 Mg 2.65, 2 Os 2.67
Mg (0.8750, 0.8641, 0.7500)  2 Rh 2.56, 2 Mg 2.65, 2 Os 2.67
Os (0.0000, 0.0000, 0.0000)  2 Rh 2.65, 4 Mg 2.67
Os (0.7500, 0.2500, 0.5000)  2 Rh 2.65, 4 Mg 2.67

***

Entry 11:
VASP calculation (GGA-PBE) on MgOs2Rh after structural relaxation.

## Properties
DOS(E_F)   4.38 states/eV/f.u.
Size of the total moment   0.00 μB per cell
Calculated formation energy   254 meV/atom

a b c (Å): 4.6990 2.7483 4.6547
angles (deg): 85.95 90.00 90.00
Closest atoms and distances in Å follow each position.
Positions (direct):
Mg (0.5000, 0.7500, 0.7500)  4 Rh 2.62-2.79, 2 Mg 2.75, 4 Os 2.76
Os (0.0000, 0.0334, 0.9998)  5 Os 2.54-2.75, 2 Rh 2.71, 2 Mg 2.76
Os (0.0000, 0.4666, 0.5002)  5 Os 2.54-2.75, 2 Rh 2.71, 2 Mg 2.76
Rh (0.5000, 0.2500, 0.2500)  4 Mg 2.62-2.79, 4 Os 2.71, 2 Rh 2.75

***

Entry 12:
VASP calculation (GGA-PBE) on MgOs2Rh after structural relaxation.

## Properties
DOS(E_F)   3.68 states/eV/f.u.
Size of the total moment   0.00 μB per cell
Calculated formation energy   179 meV/atom

a b c (Å): 4.9346 4.9346 4.9346
angles (deg): 135.25 135.25 65.14
Closest atoms and distances in Å follow each position.
Positions (direct):
Mg (0.7500, 0.2500, 0.5000)  4 Rh 2.66, 8 Os 2.80
Os (0.0000, 0.0000, 0.0000)  4 Os 2.66, 4 Mg 2.80, 4 Rh 2.80
Os (0.5000, 0.5000, 0.0000)  4 Os 2.66, 4 Rh 2.80, 4 Mg 2.80
Rh (0.2500, 0.7500, 0.5000)  4 Mg 2.66, 8 Os 2.80